Model w:
VASP calculation (PBE+U) on Na3V2P3O12 after structural relaxation.

## Properties
DOS(E_F)	0.00	states/eV/f.u.
space-group type	C2/c
magnetization	8.00	Bohr magnetons per cell

abc: 8.865 8.865 8.903
angles: 60.23 60.23 60.33
Site moments in Bohr magnetons follow the coordinates.
Element x y z (fractional)
P (0.548, 0.748, 0.242)  0.01
Na (0.000, 0.500, 0.000)  0.00
O (0.800, 0.531, 0.555)  -0.01
V (0.641, 0.150, 0.061)  1.90
O (0.065, 0.782, 0.731)  -0.01
Na (0.109, 0.250, 0.755)  0.00
O (0.019, 0.128, 0.577)  0.00
V (0.359, 0.850, 0.939)  1.90
O (0.285, 0.627, 0.100)  0.00
O (0.200, 0.469, 0.445)  -0.01
O (0.128, 0.019, 0.077)  0.00
O (0.271, 0.415, 0.747)  0.00
O (0.585, 0.729, 0.753)  0.00
P (0.957, 0.043, 0.250)  0.01
O (0.981, 0.872, 0.423)  0.00
P (0.252, 0.452, 0.258)  0.01
Na (0.250, 0.109, 0.255)  0.00
O (0.715, 0.373, 0.900)  0.00
O (0.913, 0.565, 0.747)  0.00
V (0.850, 0.359, 0.439)  1.90
O (0.729, 0.585, 0.253)  0.00
O (0.782, 0.065, 0.231)  -0.01
O (0.627, 0.285, 0.600)  0.00
O (0.373, 0.715, 0.400)  0.00
O (0.531, 0.800, 0.055)  -0.01
P (0.452, 0.252, 0.758)  0.01
O (0.565, 0.913, 0.247)  0.00
O (0.435, 0.087, 0.753)  0.00
P (0.748, 0.548, 0.742)  0.01
Na (0.891, 0.750, 0.245)  0.00
Na (0.500, 0.000, 0.500)  0.00
O (0.469, 0.200, 0.945)  -0.01
Na (0.750, 0.891, 0.745)  0.00
O (0.087, 0.435, 0.253)  0.00
V (0.150, 0.641, 0.561)  1.90
O (0.415, 0.271, 0.247)  0.00
O (0.935, 0.218, 0.269)  -0.01
P (0.043, 0.957, 0.750)  0.01
O (0.872, 0.981, 0.923)  0.00
O (0.218, 0.935, 0.769)  -0.01

Model x:
VASP calculation (PBE+U) on Na3V2P3O12 after structural relaxation.

## Properties
DOS(E_F)	0.00	states/eV/f.u.
space-group type	P2_1/c
magnetization	16.00	Bohr magnetons per cell

abc: 8.805 9.041 12.594
angles: 90.00 89.00 90.00
Site moments in Bohr magnetons follow the coordinates.
Element x y z (fractional)
Na (0.089, 0.960, 0.325)  0.00
O (0.090, 0.872, 0.577)  0.00
O (0.802, 0.435, 0.952)  -0.01
O (0.354, 0.290, 0.332)  -0.01
O (0.858, 0.273, 0.173)  0.00
O (0.316, 0.492, 0.741)  -0.01
O (0.563, 0.141, 0.922)  -0.01
P (0.615, 0.605, 0.349)  0.00
P (0.385, 0.395, 0.651)  0.00
V (0.253, 0.044, 0.605)  1.91
P (0.115, 0.895, 0.849)  0.00
P (0.892, 0.376, 0.854)  0.01
O (0.684, 0.508, 0.259)  -0.01
O (0.661, 0.828, 0.949)  -0.01
O (0.832, 0.469, 0.759)  0.00
V (0.747, 0.956, 0.395)  1.91
O (0.161, 0.672, 0.449)  -0.01
O (0.438, 0.585, 0.344)  -0.01
O (0.424, 0.684, 0.916)  0.00
Na (0.773, 0.800, 0.146)  0.00
V (0.751, 0.018, 0.900)  1.90
P (0.108, 0.624, 0.146)  0.01
O (0.646, 0.710, 0.668)  -0.01
Na (0.105, 0.295, 0.241)  0.00
O (0.142, 0.727, 0.827)  0.00
O (0.642, 0.773, 0.327)  0.00
O (0.332, 0.031, 0.259)  0.00
P (0.476, 0.250, 0.997)  0.00
O (0.184, 0.992, 0.759)  -0.01
P (0.392, 0.124, 0.354)  0.01
O (0.437, 0.859, 0.078)  -0.01
Na (0.227, 0.200, 0.854)  0.00
O (0.590, 0.628, 0.077)  0.00
V (0.749, 0.518, 0.600)  1.90
Na (0.727, 0.300, 0.354)  0.00
Na (0.589, 0.540, 0.825)  0.00
P (0.524, 0.750, 0.003)  0.00
O (0.826, 0.049, 0.046)  0.01
O (0.326, 0.451, 0.546)  0.01
O (0.410, 0.372, 0.923)  0.00
V (0.753, 0.456, 0.105)  1.91
O (0.302, 0.065, 0.452)  -0.01
Na (0.911, 0.040, 0.675)  0.00
O (0.562, 0.415, 0.656)  -0.01
O (0.434, 0.897, 0.631)  0.00
Na (0.895, 0.705, 0.759)  0.00
O (0.076, 0.184, 0.584)  0.00
P (0.608, 0.876, 0.646)  0.01
O (0.198, 0.565, 0.048)  -0.01
O (0.674, 0.549, 0.454)  0.01
O (0.168, 0.531, 0.241)  0.00
O (0.816, 0.008, 0.241)  -0.01
O (0.934, 0.603, 0.131)  0.00
Na (0.605, 0.205, 0.741)  0.00
Na (0.273, 0.700, 0.646)  0.00
O (0.063, 0.359, 0.422)  -0.01
V (0.251, 0.482, 0.400)  1.90
O (0.146, 0.790, 0.168)  -0.01
V (0.247, 0.544, 0.895)  1.91
O (0.910, 0.128, 0.423)  0.00
P (0.885, 0.105, 0.151)  0.00
O (0.066, 0.397, 0.869)  0.00
O (0.938, 0.915, 0.844)  -0.01
O (0.698, 0.935, 0.548)  -0.01
O (0.854, 0.210, 0.832)  -0.01
Na (0.411, 0.460, 0.175)  0.00
V (0.249, 0.982, 0.100)  1.90
P (0.024, 0.750, 0.503)  0.00
Na (0.395, 0.795, 0.259)  0.00
O (0.576, 0.316, 0.084)  0.00
O (0.668, 0.969, 0.741)  0.00
O (0.358, 0.227, 0.673)  0.00
O (0.339, 0.172, 0.051)  -0.01
O (0.937, 0.641, 0.578)  -0.01
O (0.839, 0.328, 0.551)  -0.01
P (0.976, 0.250, 0.497)  0.00
O (0.174, 0.951, 0.954)  0.01
O (0.566, 0.103, 0.369)  0.00
O (0.924, 0.816, 0.416)  0.00
O (0.062, 0.085, 0.156)  -0.01

How do the energies compare? Relative to the most stable structure, in eV/atom: model w 0.000; model x 0.030.

Model w:
VASP calculation (PBE+U) on NaVPO5 after structural relaxation.

## Properties
space-group type	P2_1/c
magnetization	4.00	Bohr magnetons per cell

abc: 8.573 6.658 7.079
angles: 65.20 90.00 90.00
Site moments in Bohr magnetons follow the coordinates.
Element x y z (fractional)
Na (0.081, 0.254, 0.233)  0.00
O (0.534, 0.150, 0.128)  -0.01
O (0.318, 0.071, 0.397)  0.00
O (0.176, 0.435, 0.596)  0.00
O (0.324, 0.435, 0.096)  0.00
O (0.682, 0.929, 0.603)  0.00
P (0.069, 0.250, 0.749)  0.00
O (0.466, 0.850, 0.872)  -0.01
P (0.931, 0.750, 0.251)  0.00
O (0.534, 0.342, 0.376)  0.00
O (0.814, 0.252, 0.249)  -0.09
O (0.686, 0.252, 0.749)  -0.09
O (0.824, 0.565, 0.404)  0.00
Na (0.581, 0.746, 0.267)  0.00
V (0.743, 0.248, 0.986)  1.05
V (0.243, 0.752, 0.514)  1.05
O (0.966, 0.342, 0.876)  0.00
O (0.676, 0.565, 0.904)  0.00
O (0.034, 0.658, 0.124)  0.00
O (0.966, 0.150, 0.628)  -0.01
O (0.818, 0.929, 0.103)  0.00
V (0.257, 0.752, 0.014)  1.05
O (0.182, 0.071, 0.897)  0.00
Na (0.419, 0.254, 0.733)  0.00
O (0.186, 0.748, 0.751)  -0.09
V (0.757, 0.248, 0.486)  1.05
O (0.034, 0.850, 0.372)  -0.01
P (0.431, 0.250, 0.249)  0.00
P (0.569, 0.750, 0.751)  0.00
Na (0.919, 0.746, 0.767)  0.00
O (0.314, 0.748, 0.251)  -0.09
O (0.466, 0.658, 0.624)  0.00

Model x:
VASP calculation (PBE+U) on NaVPO5 after structural relaxation.

## Properties
space-group type	Pnma
magnetization	4.00	Bohr magnetons per cell

abc: 6.486 7.849 7.427
angles: 90.00 90.00 90.00
Site moments in Bohr magnetons follow the coordinates.
Element x y z (fractional)
O (0.441, 0.275, 0.635)  -0.01
P (0.750, 0.606, 0.377)  0.00
O (0.441, 0.225, 0.135)  -0.01
O (0.059, 0.275, 0.635)  -0.01
O (0.250, 0.522, 0.784)  0.00
Na (0.000, 0.000, 0.500)  0.00
Na (0.500, 0.500, 0.000)  0.00
O (0.750, 0.022, 0.716)  0.00
O (0.941, 0.725, 0.365)  -0.01
V (0.750, 0.286, 0.668)  1.05
P (0.250, 0.394, 0.623)  0.00
O (0.750, 0.478, 0.216)  0.00
V (0.250, 0.786, 0.832)  1.05
O (0.250, 0.681, 0.104)  -0.09
P (0.750, 0.894, 0.877)  0.00
O (0.559, 0.725, 0.365)  -0.01
V (0.750, 0.214, 0.168)  1.05
O (0.750, 0.992, 0.058)  0.00
O (0.750, 0.508, 0.558)  0.00
Na (0.000, 0.500, 0.000)  0.00
O (0.059, 0.225, 0.135)  -0.01
O (0.750, 0.319, 0.896)  -0.09
O (0.559, 0.775, 0.865)  -0.01
Na (0.500, 0.000, 0.500)  0.00
O (0.250, 0.008, 0.942)  0.00
O (0.250, 0.492, 0.442)  0.00
V (0.250, 0.714, 0.332)  1.05
O (0.750, 0.181, 0.396)  -0.09
P (0.250, 0.106, 0.123)  0.00
O (0.250, 0.978, 0.284)  0.00
O (0.250, 0.819, 0.604)  -0.09
O (0.941, 0.775, 0.865)  -0.01

How do the energies compare? Relative to the most stable structure, in eV/atom: model w 0.000; model x 0.029.